(1)
5
Lattice="5.210 0.000 0.000 0.000 5.210 0.000 0.000 0.000 5.923" Properties=species:S:1:pos:R:3 comment="Sr2Cr2Fe PBE optimized geometry" e_tot_ev_per_fu=-19.9 m_tot_mub_per_fu=11.28 spacegroup="No. 123" pbc="T T T"
Sr 0.000 0.000 2.962
Sr 0.000 0.000 0.000
Cr 2.605 0.000 0.000
Cr 0.000 2.605 0.000
Fe 2.605 2.605 2.962

---

(2)
4
Lattice="-4.167 -1.227 -2.673 4.144 -3.610 -0.393 -0.988 -1.924 1.510" Properties=species:S:1:pos:R:3 comment="SrCr2Fe PBE optimized geometry" e_tot_ev_per_fu=-24.1 m_tot_mub_per_fu=3.64 spacegroup="No. 12" pbc="T T T"
Cr -2.577 -1.575 -0.582
Fe 1.578 -2.767 0.558
Cr 0.000 0.000 0.000
Sr -0.011 -2.419 -1.533

---

(3)
5
Lattice="-1.787 3.487 -3.855 -3.437 -2.880 -1.013 -3.184 2.489 3.727" Properties=species:S:1:pos:R:3 comment="SrTlCr2Fe PBE optimized geometry" e_tot_ev_per_fu=-21.1 m_tot_mub_per_fu=9.35 spacegroup="No. 123" pbc="T T T"
Cr -0.893 1.744 -1.928
Cr -1.592 1.244 1.863
Sr 0.000 0.000 0.000
Tl -4.204 1.548 -0.571
Fe -1.718 -1.440 -0.506

---

(4)
6
Lattice="-2.654 -3.667 -1.677 3.597 1.902 -2.598 2.084 -4.340 -0.355" Properties=species:S:1:pos:R:3 comment="TaCrFe PBE optimized geometry" e_tot_ev_per_fu=-30.4 m_tot_mub_per_fu=0.01 spacegroup="No. 74" pbc="T T T"
Cr 1.798 0.951 -1.299
Ta 1.084 -3.411 -0.959
Fe 0.471 -0.883 -2.138
Fe 2.840 -1.219 -1.476
Ta 1.943 -2.694 -3.671
Cr -1.327 -1.833 -0.839

---

(5)
6
Lattice="4.269 -0.126 -2.242 -2.714 3.983 -0.207 -0.135 0.163 4.927" Properties=species:S:1:pos:R:3 comment="Ta2Cr3Fe PBE optimized geometry" e_tot_ev_per_fu=-61.8 m_tot_mub_per_fu=2.27 spacegroup="No. 166" pbc="T T T"
Fe 0.000 0.000 0.000
Cr 2.067 0.019 1.342
Ta -0.750 2.597 3.614
Cr -0.067 0.082 2.463
Cr 0.710 2.010 1.239
Ta 2.171 1.423 -1.136

---

(6)
4
Lattice="8.829 0.003 0.002 8.424 2.643 0.002 8.424 1.292 2.306" Properties=species:S:1:pos:R:3 comment="TaCr2Fe PBE optimized geometry" e_tot_ev_per_fu=-37.9 m_tot_mub_per_fu=0.87 spacegroup="No. 166" pbc="T T T"
Ta 19.258 2.953 1.732
Cr 25.437 3.901 2.287
Cr 13.078 2.005 1.176
Fe 6.419 0.984 0.577

---

| no. | ΔE_f (eV per atom) |
| --- | --- |
| 1 | 2.2246 |
| 2 | 1.3177 |
| 3 | 2.1231 |
| 4 | -0.1465 |
| 5 | -0.1262 |
| 6 | 0.4204 |